No. 1
Entry from the Alexandria database: crystalline BeBOF2 at its relaxed geometry (GGA-PBE).

The energy above the most stable polymorph in this dataset is 881.7 meV/atom.

The structure belongs to space group P4/mmm (No. 123); the cell edges are 4.584, 4.584 and 2.860 Å and the angles 90.00°, 90.00° and 90.00°. The distinct sites, in fractional coordinates, are Be at (0.000, 0.000, 0.000), B at (0.500, 0.500, 0.000), O at (0.000, 0.000, 0.500) and F at (0.000, 0.500, 0.500).

No. 2
Entry from the Alexandria database: crystalline RbBe2BO3F2 at its relaxed geometry (GGA-PBE).

The structure belongs to space group R32 (No. 155, hexagonal axes); the cell edges are 4.4678, 4.4678 and 20.4990 Å and the angles 90.00°, 90.00° and 120.00°. The distinct sites, in fractional coordinates, are Rb at (0.0000, 0.0000, 0.0000), Be at (0.0000, 0.0000, 0.1947), B at (0.0000, 0.0000, 0.5000), O at (0.0000, 0.6910, 0.5000) and F at (0.0000, 0.0000, 0.2701).

No. 3
Entry from the Alexandria database: crystalline Be2BRuF at its relaxed geometry (GGA-PBE).

The structure belongs to space group P4/mmm (No. 123); the cell edges are 4.290, 4.290 and 3.857 Å and the angles 90.00°, 90.00° and 90.00°. The distinct sites, in fractional coordinates, are Be at (0.000, 0.500, 0.000), B at (0.000, 0.000, 0.500), Ru at (0.000, 0.000, 0.000) and F at (0.500, 0.500, 0.500).

No. 4
Entry from the Alexandria database: crystalline TiBeBF2 at its relaxed geometry (GGA-PBE).

The structure belongs to space group P4/mmm (No. 123); the cell edges are 3.772, 3.772 and 3.899 Å and the angles 90.00°, 90.00° and 90.00°. The distinct sites, in fractional coordinates, are Ti at (0.000, 0.000, 0.000), Be at (0.500, 0.500, 0.000), B at (0.500, 0.500, 0.500) and F at (0.000, 0.500, 0.500).

Uncorrected formation energy per entry: -229; -2851; 585; -70 meV/atom